Material: AcTaO3
Method: DFT, GGA-PBE
State: relaxed

## Properties
mass density	9.9	g cm⁻³
final energy	-43.2	eV per formula unit

abc: 5.6382 8.2699 6.5939
angles: 90.00 90.00 90.00
Space group Pnma (No. 62)
Unique sites:
Ac  0.0000  0.0000  0.0000 x4
Ta  0.0088  0.2500  0.4773 x4
O  0.0882  0.0772  0.6510 x8
O  0.1972  0.2500  0.2068 x4

---

Material: GdSiHO4
Method: DFT, GGA-PBE
State: relaxed

## Properties
ΔE to the lowest computed polymorph	0.09	eV per formula unit
mass density	4.9	g cm⁻³
final energy	-52.2	eV per formula unit

abc: 5.4050 6.2325 11.1086
angles: 90.00 115.47 90.00
Space group P2_1/c (No. 14)
Unique sites:
Gd  0.0741  0.1029  0.3520 x4
Si  0.4069  0.1630  0.6563 x4
H  0.3339  0.5091  0.5624 x4
O  0.2557  0.1628  0.7548 x4
O  0.2621  0.6591  0.7698 x4
O  0.2842  0.5456  0.0595 x4
O  0.2854  0.1414  0.0401 x4

---

Material: CuN
Method: DFT, GGA-PBE
State: relaxed

## Properties
ΔE to the lowest computed polymorph	0.48	eV per formula unit
mass density	6.5	g cm⁻³
final energy	-10.0	eV per formula unit

abc: 5.2009 2.8090 5.4072
angles: 90.00 90.00 90.00
Space group Pmma (No. 51)
Unique sites:
Cu  0.0000  0.0000  0.0000 x2
Cu  0.2500  0.5000  0.4980 x2
N  0.2500  0.0000  0.2693 x2
N  0.2500  0.5000  0.8468 x2

---

Material: Bi2Sb2Pd3
Method: DFT, GGA-PBE
State: relaxed

## Properties
ΔE to the lowest computed polymorph	0.04	eV per formula unit
mass density	10.4	g cm⁻³
final energy	-33.5	eV per formula unit

abc: 4.8041 4.8041 23.6091
angles: 90.00 90.00 120.00
Space group R3m (No. 160, hexagonal axes)
Unique sites:
Bi  0.0000  0.0000  0.0000 x3
Bi  0.0000  0.0000  0.4936 x3
Sb  0.0000  0.0000  0.2456 x3
Sb  0.0000  0.0000  0.7481 x3
Pd  0.0000  0.0000  0.3707 x3
Pd  0.0000  0.0000  0.6196 x3
Pd  0.0000  0.0000  0.8721 x3

---

Material: Ta4FeAuC2
Method: DFT, GGA-PBE
State: relaxed

## Properties
mass density	14.7	g cm⁻³
final energy	-80.0	eV per formula unit

abc: 3.1062 3.1062 13.5662
angles: 90.00 90.00 120.00
Space group P-6m2 (No. 187)
Unique sites:
Ta  0.0000  0.0000  0.1451 x2
Ta  0.6667  0.3333  0.3301 x2
Fe  0.6667  0.3333  0.0000 x1
Au  0.0000  0.0000  0.5000 x1
C  0.3333  0.6667  0.2389 x2

---

Material: Tb2Cl
Method: DFT, GGA-PBE
State: relaxed

## Properties
ΔE to the lowest computed polymorph	0.00	eV per formula unit
mass density	5.9	g cm⁻³
final energy	-10.6	eV per formula unit

abc: 9.2605 9.2605 9.2605
angles: 90.00 90.00 90.00
Space group Fd-3m (No. 227, origin choice 2)
Unique sites:
Tb  0.0000  0.0000  0.0000 x16
Cl  0.1250  0.1250  0.6250 x8

---

Material: TbBePO
Method: DFT, GGA-PBE
State: relaxed

## Properties
ΔE to the lowest computed polymorph	0.16	eV per formula unit
mass density	5.4	g cm⁻³
final energy	-26.2	eV per formula unit

abc: 4.1266 5.8589 5.4506
angles: 90.00 90.00 90.00
Space group Pmc2_1 (No. 26)
Unique sites:
Tb  0.0000  0.2474  0.0000 x2
Be  0.5000  0.3843  0.6189 x2
P  0.0000  0.2314  0.5078 x2
O  0.5000  0.3899  0.9324 x2

---

Material: LaTb
Method: DFT, GGA-PBE
State: relaxed

## Properties
ΔE to the lowest computed polymorph	0.00	eV per formula unit
mass density	7.2	g cm⁻³
formation enthalpy at 0 K	0.085	eV/f.u.
final energy	-9.5	eV per formula unit

abc: 3.6687 3.6687 5.8914
angles: 90.00 90.00 120.00
Space group P-6m2 (No. 187)
Unique sites:
La  0.0000  0.0000  0.0000 x1
Tb  0.6667  0.3333  0.5000 x1

---

Material: NiBi
Method: DFT, GGA-PBE
State: relaxed

## Properties
mass density	9.8	g cm⁻³
final energy	-9.1	eV per formula unit

abc: 4.3949 4.3949 5.4423
angles: 90.00 90.00 120.00
Space group P6_3mc (No. 186)
Unique sites:
Ni  0.3333  0.6667  0.0000 x2
Bi  0.3333  0.6667  0.5029 x2

---

Material: RbCo2S3
Method: DFT, GGA-PBE
State: relaxed

## Properties
mass density	4.2	g cm⁻³
final energy	-30.9	eV per formula unit

abc: 8.2340 3.4885 9.1071
angles: 90.00 115.81 90.00
Space group P2_1/m (No. 11)
Unique sites:
Rb  0.0185  0.2500  0.2572 x2
Co  0.4733  0.2500  0.1518 x2
Co  0.4763  0.7500  0.3912 x2
S  0.2804  0.7500  0.1384 x2
S  0.3447  0.7500  0.5594 x2
S  0.3599  0.2500  0.8748 x2

---

Material: Sr2TlH6Pd
Method: DFT, GGA-PBE
State: relaxed

## Properties
mass density	6.1	g cm⁻³
final energy	-33.5	eV per formula unit

abc: 8.1074 8.1074 8.1074
angles: 90.00 90.00 90.00
Space group Fm-3m (No. 225)
Unique sites:
Sr  0.2500  0.2500  0.2500 x8
Tl  0.0000  0.0000  0.0000 x4
H  0.0000  0.0000  0.2820 x24
Pd  0.0000  0.0000  0.5000 x4

---

Material: AgSnAs
Method: DFT, GGA-PBE
State: relaxed

## Properties
ΔE to the lowest computed polymorph	0.00	eV per formula unit
mass density	7.0	g cm⁻³
final energy	-11.2	eV per formula unit

abc: 6.5834 6.5834 6.5834
angles: 90.00 90.00 90.00
Space group F-43m (No. 216)
Unique sites:
Ag  0.0000  0.0000  0.0000 x4
Sn  0.2500  0.2500  0.2500 x4
As  0.2500  0.2500  0.7500 x4

---

Material: Li2MgZnGa2Fe2
Method: DFT, GGA-PBE
State: relaxed

## Properties
mass density	5.4	g cm⁻³
final energy	-29.8	eV per formula unit

abc: 4.2519 4.2519 6.0475
angles: 90.00 90.00 90.00
Space group P-4m2 (No. 115)
Unique sites:
Li  0.0000  0.5000  0.2385 x2
Mg  0.5000  0.5000  0.5000 x1
Zn  0.0000  0.0000  0.0000 x1
Ga  0.0000  0.0000  0.5000 x1
Ga  0.5000  0.5000  0.0000 x1
Fe  0.0000  0.5000  0.7614 x2

---

Material: ThZrSc
Method: DFT, GGA-PBE
State: relaxed

## Properties
mass density	6.8	g cm⁻³
formation enthalpy at 0 K	2.445	eV/f.u.
final energy	-19.8	eV per formula unit

abc: 7.1239 7.1239 7.1239
angles: 90.00 90.00 90.00
Space group F-43m (No. 216)
Unique sites:
Th  0.0000  0.0000  0.0000 x4
Zr  0.0000  0.0000  0.5000 x4
Sc  0.2500  0.2500  0.2500 x4

---

Material: RbAgIrS3
Method: DFT, GGA-PBE
State: relaxed

## Properties
mass density	5.8	g cm⁻³
final energy	-26.7	eV per formula unit

abc: 3.7225 15.1413 9.7924
angles: 90.00 90.00 90.00
Space group Cmcm (No. 63)
Unique sites:
Rb  0.0000  0.2450  0.2500 x4
Ag  0.0000  0.0591  0.7500 x4
Ir  0.0000  0.5000  0.0000 x4
S  0.0000  0.1026  0.5140 x8
S  0.0000  0.4428  0.7500 x4

---

Material: DyEr2Zn3PdAu2
Method: DFT, GGA-PBE
State: relaxed

## Properties
mass density	10.9	g cm⁻³
formation enthalpy at 0 K	-6.424	eV/f.u.
final energy	-35.7	eV per formula unit

abc: 3.9034 12.7515 7.3353
angles: 90.00 90.00 90.00
Space group Amm2 (No. 38)
Unique sites:
Dy  0.0000  0.0000  0.0000 x2
Er  0.0000  0.2015  0.6066 x4
Zn  0.5000  0.0000  0.6495 x2
Zn  0.5000  0.1220  0.2826 x4
Pd  0.0000  0.0000  0.4067 x2
Au  0.5000  0.1680  0.9043 x4

---

Material: PaTl2Pb2
Method: DFT, GGA-PBE
State: relaxed

## Properties
ΔE to the lowest computed polymorph	0.64	eV per formula unit
mass density	11.3	g cm⁻³
final energy	-19.3	eV per formula unit

abc: 4.5417 4.5417 15.0519
angles: 90.00 90.00 90.00
Space group I4/mmm (No. 139)
Unique sites:
Pa  0.0000  0.0000  0.0000 x2
Tl  0.0000  0.0000  0.4045 x4
Pb  0.0000  0.5000  0.2500 x4

---

Material: Sr2MgTcS6
Method: DFT, GGA-PBE
State: relaxed

## Properties
ΔE to the lowest computed polymorph	0.34	eV per formula unit
mass density	3.8	g cm⁻³
final energy	-50.4	eV per formula unit

abc: 6.2034 6.5329 6.8593
angles: 66.12 63.80 64.13
Space group P-1 (No. 2)
Unique sites:
Sr  0.2465  0.2636  0.2461 x2
Mg  0.0000  0.0000  0.0000 x1
Tc  0.5000  0.5000  0.5000 x1
S  0.1761  0.7642  0.3261 x2
S  0.2557  0.6510  0.8298 x2
S  0.3196  0.1932  0.6853 x2

---

Material: AlAuSO
Method: DFT, GGA-PBE
State: relaxed

## Properties
ΔE to the lowest computed polymorph	0.00	eV per formula unit
mass density	6.3	g cm⁻³
final energy	-21.4	eV per formula unit

abc: 5.7151 5.1133 9.9218
angles: 90.00 98.86 90.00
Space group P2_1 (No. 4)
Unique sites:
Al  0.0704  0.0000  0.4084 x2
Al  0.3696  0.5187  0.4435 x2
Au  0.1366  0.6358  0.9992 x2
Au  0.4944  0.4564  0.7806 x2
S  0.1707  0.7211  0.7741 x2
S  0.1914  0.6786  0.2397 x2
O  0.1349  0.3261  0.4959 x2
O  0.3588  0.8515  0.5060 x2

---

Material: Hf5ZrN3
Method: DFT, GGA-PBE
State: relaxed

## Properties
mass density	9.0	g cm⁻³
final energy	-77.8	eV per formula unit

abc: 8.3051 8.3051 3.1737
angles: 90.00 90.00 120.00
Space group P-62m (No. 189)
Unique sites:
Hf  0.0000  0.3002  0.0000 x3
Hf  0.3333  0.6667  0.0000 x2
Zr  0.0000  0.0000  0.5000 x1
N  0.0000  0.4495  0.5000 x3